Below is a geometry-optimized PrGeSe4 structure, with properties calculated at the PBE level.

Lattice parameters (Å, degrees): 6.1402 7.8401 9.7026 90.00 90.00 129.61
With the nearest neighbours (Å) after each atom.
Positions (direct):
1 Pr 0.9989 0.6361 0.7500  8 Se 3.03-3.20
2 Pr 0.0011 0.3639 0.2500  8 Se 3.03-3.20
3 Ge 0.9982 0.1151 0.7500  4 Se 2.37-2.42
4 Ge 0.0018 0.8849 0.2500  4 Se 2.37-2.42
5 Se 0.5908 0.7362 0.7500  1 Ge 2.37
6 Se 0.4092 0.2638 0.2500  1 Ge 2.37
7 Se 0.4067 0.1443 0.7500  1 Ge 2.37
8 Se 0.5933 0.8557 0.2500  1 Ge 2.37
9 Se 0.0024 0.6776 0.0661  1 Ge 2.42
10 Se 0.9976 0.3224 0.5661  1 Ge 2.42
11 Se 0.0024 0.6776 0.4339  1 Ge 2.42
12 Se 0.9976 0.3224 0.9339  1 Ge 2.42

Values from the calculation:
Space-group type: P2_1/m, No. 11
Formation energy without anion corrections in eV per atom: -0.778
Final energy in eV/f.u.: -28.00
Total moment in μB/atom: 0.000
Calculated volume in Å³/atom: 30.0